No. 1
Computed, not measured: a PBEsol-optimized structure of SrAlReAu2 at the meta-GGA SCAN level of DFT.

Its total energy is -229.191 eV/cell.

The structure belongs to space group P4/mmm (No. 123); the cell edges are 5.340, 5.340 and 5.667 Å and the angles 90.00°, 90.00° and 90.00°. The asymmetric unit holds Sr at (0.000, 0.000, 0.000), Al at (0.000, 0.000, 0.500), Re at (0.500, 0.500, 0.500) and Au at (0.000, 0.500, 0.000).

=====

No. 2
Computed, not measured: a PBEsol-optimized structure of AlRhAu2 at the meta-GGA SCAN level of DFT.

Its total energy is -362.870 eV/cell.

The structure belongs to space group Imm2 (No. 44); the cell edges are 3.059, 4.499 and 8.908 Å and the angles 90.00°, 90.00° and 90.00°. The asymmetric unit holds Al at (0.000, 0.000, 0.000), Rh at (0.000, 0.500, 0.284), Au at (0.000, 0.000, 0.507) and Au at (0.000, 0.500, 0.733).

=====

- Number 2 is which compound?
  AlRhAu2